Record 1
Material: InFeOs2
Method: DFT, PBE
State: optimized geometry

Geometry as extended XYZ:
```
4
Lattice="-1.404 1.953 3.413 -2.028 -1.943 0.278 2.042 -4.032 3.147" Properties=species:S:1:pos:R:3 pbc="T T T"
Os -0.136 -0.314 0.124
Os 0.143 -2.674 1.589
Fe -0.699 -0.517 2.563
In -0.692 -3.505 4.275
```

Values from the calculation:
**Space group**: P2/m
**Energy of formation from the pure elements**: 473 meV per atom
**Density of states at the Fermi level**: 0.85 states/eV per atom

Record 2
Material: Li3O2
Method: DFT, PBE
State: optimized geometry

Geometry as extended XYZ:
```
5
Lattice="-2.385 1.093 0.504 -1.174 -1.870 -1.504 1.206 -3.030 5.200" Properties=species:S:1:pos:R:3 pbc="T T T"
Li -2.140 -2.530 2.443
Li -0.215 -1.278 1.757
Li 0.000 0.000 0.000
O -0.422 -2.515 3.457
O -1.932 -1.293 0.743
```

Values from the calculation:
**Space group**: I4/mmm
**Energy relative to the elements, uncorrected**: -1.35 eV/atom
**Distance to the lowest polymorph of the same formula**: 3.89 kcal/mol of atoms
**Density of states at the Fermi level**: 0.40 states/eV per atom

Record 3
Material: Sr2TiTlB
Method: DFT, PBE
State: optimized geometry

Geometry as extended XYZ:
```
5
Lattice="-3.000 -5.378 -0.795 4.507 -2.585 0.477 -0.886 -0.412 6.132" Properties=species:S:1:pos:R:3 pbc="T T T"
Sr -1.500 -2.689 -0.397
Sr -0.443 -0.206 3.066
Tl 0.000 0.000 0.000
B 0.311 -4.187 2.907
Ti 2.254 -1.292 0.239
```

Values from the calculation:
**Space group**: P4/mmm
**Energy of formation from the pure elements**: 1358 meV per atom
**Density of states at the Fermi level**: 1.48 states/eV per atom

Record 4
Material: NaW2I
Method: DFT, PBE
State: optimized geometry

Geometry as extended XYZ:
```
8
Lattice="-0.944 -5.004 6.561 7.591 2.061 2.664 2.324 0.477 5.955" Properties=species:S:1:pos:R:3 pbc="T T T"
Na 3.324 -1.472 4.612
I 2.352 -2.999 8.564
Na 6.619 0.533 6.616
I 0.000 0.000 0.000
W 7.937 -2.115 12.670
W 3.858 -0.849 7.793
W 0.893 -3.000 6.249
W 5.255 1.031 3.647
```

Values from the calculation:
**Space group**: I-42d
**Energy relative to the elements, uncorrected**: 1.81 eV/atom
**Distance to the lowest polymorph of the same formula**: 0.00 kcal/mol of atoms
**Density of states at the Fermi level**: 0.87 states/eV per atom

Record 5
Material: K2Rb2Na15
Method: DFT, PBE
State: optimized geometry

Geometry as extended XYZ:
```
19
Lattice="-2.045 -9.394 -0.396 7.806 -2.686 -4.943 5.310 -2.670 7.567" Properties=species:S:1:pos:R:3 pbc="T T T"
Na 3.386 -8.277 3.861
Na 2.877 -9.748 0.587
K 1.161 -1.547 0.234
Na 6.076 -2.675 3.731
Na 2.655 -1.335 3.783
Na 7.685 -6.474 -1.633
Na 7.041 -2.681 -1.107
Na 0.210 -7.332 2.045
Na 6.467 -6.466 4.473
Na 4.604 -8.285 -2.245
Na -1.023 -4.697 -0.198
K 9.910 -13.204 1.995
Na 3.903 -1.343 -2.471
Na 8.195 -5.003 1.642
Na 3.055 -4.732 5.125
Rb 3.862 -5.145 0.777
Na 4.786 -4.743 -3.549
Na 0.975 -7.337 -1.790
Rb 7.210 -9.605 1.451
```

Values from the calculation:
**Space group**: R-3m
**Energy of formation from the pure elements**: 23 meV per atom
**Density of states at the Fermi level**: 0.53 states/eV per atom

Record 6
Material: ZrPd2Au4
Method: DFT, PBE
State: optimized geometry

Geometry as extended XYZ:
```
14
Lattice="-2.782 -4.142 -3.169 5.350 2.425 0.661 -2.253 -5.389 14.026" Properties=species:S:1:pos:R:3 pbc="T T T"
Au -0.340 -3.074 -1.399
Pd -3.842 -7.676 7.647
Au -0.185 -4.817 6.273
Pd 1.517 -1.563 2.627
Au 2.138 -1.157 -0.176
Au 0.655 -4.032 12.917
Zr 1.517 -3.347 10.171
Au -1.823 -5.950 11.694
Zr -1.203 -3.759 1.347
Pd 4.157 0.569 3.871
Au 0.500 -2.290 5.245
Pd -1.202 -5.544 8.890
Au -1.934 -4.339 4.154
Au 2.249 -2.768 7.364
```

Values from the calculation:
**Space group**: C2/c
**Energy of formation from the pure elements**: -149 meV per atom
**Density of states at the Fermi level**: 0.37 states/eV per atom

Record 7
Material: KRbFeCl2
Method: DFT, PBE
State: optimized geometry

Geometry as extended XYZ:
```
5
Lattice="6.188 0.000 0.000 0.000 5.930 0.000 0.000 0.000 6.188" Properties=species:S:1:pos:R:3 pbc="T T T"
Cl 0.000 0.000 3.094
K 3.094 2.965 3.094
Cl 3.094 0.000 0.000
Rb 0.000 0.000 0.000
Fe 0.000 2.965 0.000
```

Values from the calculation:
**Space group**: P4/mmm
**Energy relative to the elements, uncorrected**: -0.19 eV/atom
**Density of states at the Fermi level**: 0.91 states/eV per atom

Record 8
Material: LiZnP2
Method: DFT, PBE
State: optimized geometry

Geometry as extended XYZ:
```
4
Lattice="-3.388 -1.959 0.536 1.324 -2.152 0.504 0.765 0.540 6.813" Properties=species:S:1:pos:R:3 pbc="T T T"
Li 0.142 -2.270 7.157
P -1.249 -1.203 2.258
Zn 0.462 0.102 3.294
P 1.157 -0.464 5.617
```

Values from the calculation:
**Space group**: Pm
**Energy of formation from the pure elements**: -125 meV per atom
**Density of states at the Fermi level**: 0.22 states/eV per atom

Record 9
Material: K2ZnH8N4
Method: DFT, PBE
State: optimized geometry

Geometry as extended XYZ:
```
30
Lattice="6.842 -0.038 -0.045 -3.262 6.761 0.040 0.777 -2.379 7.740" Properties=species:S:1:pos:R:3 pbc="T T T"
H 6.288 -0.992 6.971
H -1.866 4.976 2.326
N 6.068 0.665 2.511
K 3.604 2.143 2.422
N 1.470 5.423 0.051
H -1.388 3.755 4.249
H 6.224 -0.631 5.409
H -1.931 5.337 0.764
N 1.728 4.210 3.198
Zn 2.584 5.497 1.797
N 2.629 0.134 4.537
H 2.310 4.417 4.022
H 5.746 0.590 3.486
N -1.711 3.679 5.224
H 2.687 3.770 7.209
H 3.531 -0.285 4.270
K 0.165 3.062 1.034
K 4.192 1.283 6.701
H 2.047 -0.073 3.713
Zn 1.773 -1.153 5.938
H 0.827 4.630 3.465
H 0.247 0.742 2.671
N 2.887 -1.078 7.684
H 4.110 3.602 5.064
K 0.754 2.202 5.313
N -0.114 -0.342 6.315
H 0.578 5.867 0.307
H 1.670 0.574 0.526
N 4.471 4.687 1.420
H 3.779 -1.522 7.428
```

Values from the calculation:
**Calculated total energy**: -138.413 eV per cell
**Space group**: P-1
**Density of states at the Fermi level**: 0.00 states/eV per atom

Record 10
Material: MgTc2Ag
Method: DFT, PBE
State: optimized geometry

Geometry as extended XYZ:
```
8
Lattice="7.552 0.000 0.000 0.000 7.552 0.000 3.776 3.776 2.502" Properties=species:S:1:pos:R:3 pbc="T T T"
Mg 3.776 7.552 1.251
Ag 7.552 3.776 1.251
Tc 1.795 5.664 0.626
Tc 5.664 5.572 1.877
Mg 3.776 3.776 0.000
Ag 0.000 0.000 0.000
Tc 5.757 1.888 0.626
Tc 9.440 9.533 1.877
```

Values from the calculation:
**Space group**: I-42d
**Energy of formation from the pure elements**: 964 meV per atom
**Density of states at the Fermi level**: 1.11 states/eV per atom

Record 11
Material: NaLi3Si
Method: DFT, PBE
State: optimized geometry

Geometry as extended XYZ:
```
5
Lattice="4.899 0.000 0.000 0.000 4.899 0.000 0.000 0.000 4.899" Properties=species:S:1:pos:R:3 pbc="T T T"
Li 0.000 0.000 2.450
Li 2.450 0.000 0.000
Na 2.450 2.450 2.450
Li 0.000 2.450 0.000
Si 0.000 0.000 0.000
```

Values from the calculation:
**Space group**: Pm-3m
**Energy relative to the elements, uncorrected**: -0.03 eV/atom
**Distance to the lowest polymorph of the same formula**: 0.98 kcal/mol of atoms
**Density of states at the Fermi level**: 0.11 states/eV per atom

Record 12
Material: Ta2TlP
Method: DFT, PBE
State: optimized geometry

Geometry as extended XYZ:
```
4
Lattice="-2.605 1.277 -1.428 0.825 -1.601 -2.937 -3.870 -5.661 2.000" Properties=species:S:1:pos:R:3 pbc="T T T"
Tl -1.999 -2.924 1.033
P -1.513 -1.073 -1.861
Ta -0.123 -0.180 0.064
Ta -3.950 -4.638 -0.601
```

Values from the calculation:
**Space group**: Pmm2
**Energy of formation from the pure elements**: -8 meV per atom
**Distance to the lowest polymorph of the same formula**: 1.32 kcal/mol of atoms
**Density of states at the Fermi level**: 0.83 states/eV per atom